(1)
The following is a GGA-PBE calculation of Ac2MgGaPd6 after structural relaxation, from Alexandria via LeMat-Bulk.

Summary:
- Formation energy from the elements: -0.71 eV/atom

a = 5.655 Å, b = 6.737 Å, c = 6.892 Å
α = 78.04°, β = 65.83°, γ = 65.21°
Space group P-1 (No. 2)
Unique sites:
1 Ac 0.250 0.214 0.285 x2
2 Mg 0.500 0.500 0.500 x1
3 Ga 0.000 0.000 0.000 x1
4 Pd 0.249 0.593 0.908 x2
5 Pd 0.251 0.760 0.243 x2
6 Pd 0.252 0.241 0.756 x2


(2)
The following is a GGA-PBE calculation of Ac3MgGa2Pd6 after structural relaxation, from Alexandria via LeMat-Bulk.

Summary:
- Formation energy from the elements: -0.68 eV/atom

a = 5.9620 Å, b = 5.9620 Å, c = 8.9343 Å
α = 90.00°, β = 90.00°, γ = 120.00°
Space group P-3m1 (No. 164)
Unique sites:
1 Ac 0.0000 0.0000 0.0000 x1
2 Ac 0.3333 0.6667 0.6373 x2
3 Mg 0.0000 0.0000 0.5000 x1
4 Ga 0.3333 0.6667 0.0404 x2
5 Pd 0.1747 0.3494 0.2801 x6


(3)
The following is a GGA-PBE calculation of Ac3Mg2Ga4Pd2 after structural relaxation, from Alexandria via LeMat-Bulk.

Summary:
- Formation energy from the elements: -0.50 eV/atom

a = 4.5295 Å, b = 4.5295 Å, c = 16.3055 Å
α = 90.00°, β = 90.00°, γ = 120.00°
Space group P-3m1 (No. 164)
Unique sites:
1 Ac 0.0000 0.0000 0.0000 x1
2 Ac 0.0000 0.0000 0.2598 x2
3 Mg 0.3333 0.6667 0.5582 x2
4 Ga 0.3333 0.6667 0.3831 x2
5 Ga 0.3333 0.6667 0.8699 x2
6 Pd 0.3333 0.6667 0.1316 x2


(4)
The following is a GGA-PBE calculation of Ac2MgGa3Pd4 after structural relaxation, from Alexandria via LeMat-Bulk.

Summary:
- Formation energy from the elements: -0.78 eV/atom

a = 4.410 Å, b = 4.410 Å, c = 10.929 Å
α = 90.00°, β = 90.00°, γ = 90.00°
Space group P-4m2 (No. 115)
Unique sites:
1 Ac 0.000 0.500 0.242 x2
2 Mg 0.000 0.000 0.500 x1
3 Ga 0.000 0.500 0.880 x2
4 Ga 0.500 0.500 0.500 x1
5 Pd 0.000 0.000 0.000 x1
6 Pd 0.000 0.500 0.641 x2
7 Pd 0.500 0.500 0.000 x1


(5)
The following is a GGA-PBE calculation of AcMg2GaPd2 after structural relaxation, from Alexandria via LeMat-Bulk.

Summary:
- Formation energy from the elements: -0.45 eV/atom

a = 5.144 Å, b = 5.144 Å, c = 11.017 Å
α = 90.00°, β = 90.00°, γ = 90.00°
Space group I4/mmm (No. 139)
Unique sites:
1 Ac 0.000 0.000 0.000 x2
2 Mg 0.000 0.500 0.250 x4
3 Ga 0.000 0.000 0.500 x2
4 Pd 0.000 0.000 0.282 x4


(6)
The following is a GGA-PBE calculation of AcMgGaPd after structural relaxation, from Alexandria via LeMat-Bulk.

Summary:
- Formation energy from the elements: -0.48 eV/atom
- ΔE to the lowest computed polymorph: 105 meV per atom

a = 7.254 Å, b = 7.254 Å, c = 7.254 Å
α = 90.00°, β = 90.00°, γ = 90.00°
Space group F-43m (No. 216)
Unique sites:
1 Ac 0.000 0.000 0.000 x4
2 Mg 0.000 0.000 0.500 x4
3 Ga 0.250 0.250 0.250 x4
4 Pd 0.250 0.250 0.750 x4


(7)
The following is a GGA-PBE calculation of AcPmMgGa after structural relaxation, from Alexandria via LeMat-Bulk.

Summary:
- Formation energy from the elements: -0.27 eV/atom

a = 7.773 Å, b = 7.773 Å, c = 7.773 Å
α = 90.00°, β = 90.00°, γ = 90.00°
Space group F-43m (No. 216)
Unique sites:
1 Ac 0.000 0.000 0.000 x4
2 Pm 0.000 0.000 0.500 x4
3 Mg 0.250 0.250 0.250 x4
4 Ga 0.250 0.250 0.750 x4


(8)
The following is a GGA-PBE calculation of AcMgGaPt after structural relaxation, from Alexandria via LeMat-Bulk.

Summary:
- Formation energy from the elements: -0.57 eV/atom

a = 7.224 Å, b = 7.224 Å, c = 7.224 Å
α = 90.00°, β = 90.00°, γ = 90.00°
Space group F-43m (No. 216)
Unique sites:
1 Ac 0.000 0.000 0.000 x4
2 Mg 0.000 0.000 0.500 x4
3 Ga 0.250 0.250 0.250 x4
4 Pt 0.250 0.250 0.750 x4


(9)
The following is a GGA-PBE calculation of Ac2MgGa4Pt3 after structural relaxation, from Alexandria via LeMat-Bulk.

Summary:
- Formation energy from the elements: -0.85 eV/atom

a = 4.404 Å, b = 4.404 Å, c = 11.017 Å
α = 90.00°, β = 90.00°, γ = 90.00°
Space group P-4m2 (No. 115)
Unique sites:
1 Ac 0.000 0.500 0.239 x2
2 Mg 0.000 0.000 0.500 x1
3 Ga 0.000 0.000 0.000 x1
4 Ga 0.000 0.500 0.639 x2
5 Ga 0.500 0.500 0.000 x1
6 Pt 0.000 0.500 0.873 x2
7 Pt 0.500 0.500 0.500 x1


(10)
The following is a GGA-PBE calculation of Ac2MgGa3Pt4 after structural relaxation, from Alexandria via LeMat-Bulk.

Summary:
- Formation energy from the elements: -0.95 eV/atom

a = 4.410 Å, b = 4.410 Å, c = 10.859 Å
α = 90.00°, β = 90.00°, γ = 90.00°
Space group P-4m2 (No. 115)
Unique sites:
1 Ac 0.000 0.500 0.243 x2
2 Mg 0.000 0.000 0.500 x1
3 Ga 0.000 0.500 0.879 x2
4 Ga 0.500 0.500 0.500 x1
5 Pt 0.000 0.000 0.000 x1
6 Pt 0.000 0.500 0.641 x2
7 Pt 0.500 0.500 0.000 x1


(11)
The following is a GGA-PBE calculation of AcMgGa2Pt2 after structural relaxation, from Alexandria via LeMat-Bulk.

Summary:
- Formation energy from the elements: -0.90 eV/atom

a = 4.4645 Å, b = 4.4645 Å, c = 7.2162 Å
α = 90.00°, β = 90.00°, γ = 120.00°
Space group P-3m1 (No. 164)
Unique sites:
1 Ac 0.0000 0.0000 0.0000 x1
2 Mg 0.0000 0.0000 0.5000 x1
3 Ga 0.3333 0.6667 0.3156 x2
4 Pt 0.3333 0.6667 0.6957 x2


(12)
The following is a GGA-PBE calculation of AcMg2Ga2Pt after structural relaxation, from Alexandria via LeMat-Bulk.

Summary:
- Formation energy from the elements: -0.22 eV/atom

a = 5.012 Å, b = 5.012 Å, c = 12.068 Å
α = 90.00°, β = 90.00°, γ = 90.00°
Space group I4/mmm (No. 139)
Unique sites:
1 Ac 0.000 0.000 0.000 x2
2 Mg 0.000 0.500 0.250 x4
3 Ga 0.000 0.000 0.302 x4
4 Pt 0.000 0.000 0.500 x2


(13)
The following is a GGA-PBE calculation of AcMgGa2Pt after structural relaxation, from Alexandria via LeMat-Bulk.

Summary:
- Formation energy from the elements: -0.75 eV/atom

a = 4.367 Å, b = 4.431 Å, c = 11.444 Å
α = 90.00°, β = 90.00°, γ = 90.00°
Space group Imm2 (No. 44)
Unique sites:
1 Ac 0.000 0.000 0.000 x2
2 Mg 0.000 0.500 0.751 x2
3 Ga 0.000 0.000 0.608 x2
4 Ga 0.000 0.500 0.252 x2
5 Pt 0.000 0.000 0.384 x2


(14)
The following is a GGA-PBE calculation of AcMgGaPt3 after structural relaxation, from Alexandria via LeMat-Bulk.

Summary:
- Formation energy from the elements: -0.69 eV/atom

a = 7.120 Å, b = 12.620 Å, c = 5.849 Å
α = 90.00°, β = 90.00°, γ = 90.00°
Space group Cmcm (No. 63)
Unique sites:
1 Ac 0.000 0.207 0.250 x4
2 Mg 0.000 0.476 0.250 x4
3 Ga 0.000 0.118 0.750 x4
4 Pt 0.000 0.312 0.750 x4
5 Pt 0.202 0.000 0.000 x8


(15)
The following is a GGA-PBE calculation of Ac2MgGaPt6 after structural relaxation, from Alexandria via LeMat-Bulk.

Summary:
- Formation energy from the elements: -0.76 eV/atom

a = 5.8537 Å, b = 5.8537 Å, c = 22.9254 Å
α = 90.00°, β = 90.00°, γ = 120.00°
Space group R-3m (No. 166, hexagonal axes)
Unique sites:
1 Ac 0.0000 0.0000 0.2146 x6
2 Mg 0.0000 0.0000 0.5000 x3
3 Ga 0.0000 0.0000 0.0000 x3
4 Pt 0.0130 0.5065 0.2562 x18


(16)
The following is a GGA-PBE calculation of AcPuMgGa after structural relaxation, from Alexandria via LeMat-Bulk.

Summary:
- Formation energy from the elements: -0.08 eV/atom

a = 7.707 Å, b = 7.707 Å, c = 7.707 Å
α = 90.00°, β = 90.00°, γ = 90.00°
Space group F-43m (No. 216)
Unique sites:
1 Ac 0.000 0.000 0.000 x4
2 Pu 0.000 0.000 0.500 x4
3 Mg 0.250 0.250 0.250 x4
4 Ga 0.250 0.250 0.750 x4


(17)
The following is a GGA-PBE calculation of AcMg2Ga2Rh after structural relaxation, from Alexandria via LeMat-Bulk.

Summary:
- Formation energy from the elements: -0.06 eV/atom

a = 5.029 Å, b = 5.029 Å, c = 11.777 Å
α = 90.00°, β = 90.00°, γ = 90.00°
Space group I4/mmm (No. 139)
Unique sites:
1 Ac 0.000 0.000 0.000 x2
2 Mg 0.000 0.500 0.250 x4
3 Ga 0.000 0.000 0.299 x4
4 Rh 0.000 0.000 0.500 x2


(18)
The following is a GGA-PBE calculation of Ac2MgGa4Ru3 after structural relaxation, from Alexandria via LeMat-Bulk.

Summary:
- Formation energy from the elements: -0.35 eV/atom

a = 4.251 Å, b = 4.251 Å, c = 11.433 Å
α = 90.00°, β = 90.00°, γ = 90.00°
Space group P-4m2 (No. 115)
Unique sites:
1 Ac 0.000 0.500 0.232 x2
2 Mg 0.000 0.000 0.500 x1
3 Ga 0.000 0.000 0.000 x1
4 Ga 0.000 0.500 0.639 x2
5 Ga 0.500 0.500 0.000 x1
6 Ru 0.000 0.500 0.871 x2
7 Ru 0.500 0.500 0.500 x1


(19)
The following is a GGA-PBE calculation of Ac2MgGaRu2 after structural relaxation, from Alexandria via LeMat-Bulk.

Summary:
- Formation energy from the elements: -0.24 eV/atom

a = 5.891 Å, b = 15.956 Å, c = 5.981 Å
α = 90.00°, β = 90.00°, γ = 90.00°
Space group Ibam (No. 72)
Unique sites:
1 Ac 0.249 0.165 0.000 x8
2 Mg 0.000 0.500 0.250 x4
3 Ga 0.000 0.000 0.250 x4
4 Ru 0.232 0.109 0.500 x8


(20)
The following is a GGA-PBE calculation of AcMgGaRu after structural relaxation, from Alexandria via LeMat-Bulk.

Summary:
- Formation energy from the elements: -0.24 eV/atom

a = 4.3948 Å, b = 4.3948 Å, c = 17.6461 Å
α = 90.00°, β = 90.00°, γ = 120.00°
Space group R3m (No. 160, hexagonal axes)
Unique sites:
1 Ac 0.0000 0.0000 0.0000 x3
2 Mg 0.0000 0.0000 0.1900 x3
3 Ga 0.0000 0.0000 0.7886 x3
4 Ru 0.0000 0.0000 0.4504 x3


(21)
The following is a GGA-PBE calculation of Ac2MgGa4Si3 after structural relaxation, from Alexandria via LeMat-Bulk.

Summary:
- E_form (uncorrected): -0.31 eV per atom

a = 4.513 Å, b = 4.513 Å, c = 10.770 Å
α = 90.00°, β = 90.00°, γ = 90.00°
Space group P-4m2 (No. 115)
Unique sites:
1 Ac 0.000 0.500 0.239 x2
2 Mg 0.000 0.000 0.500 x1
3 Ga 0.000 0.000 0.000 x1
4 Ga 0.000 0.500 0.644 x2
5 Ga 0.500 0.500 0.000 x1
6 Si 0.000 0.500 0.886 x2
7 Si 0.500 0.500 0.500 x1


(22)
The following is a GGA-PBE calculation of AcThMgGa after structural relaxation, from Alexandria via LeMat-Bulk.

Summary:
- Formation energy from the elements: -0.13 eV/atom

a = 7.746 Å, b = 7.746 Å, c = 7.746 Å
α = 90.00°, β = 90.00°, γ = 90.00°
Space group F-43m (No. 216)
Unique sites:
1 Ac 0.000 0.000 0.000 x4
2 Th 0.000 0.000 0.500 x4
3 Mg 0.250 0.250 0.750 x4
4 Ga 0.250 0.250 0.250 x4


(23)
The following is a GGA-PBE calculation of AcMgTlGa after structural relaxation, from Alexandria via LeMat-Bulk.

Summary:
- Formation energy from the elements: -0.27 eV/atom

a = 7.635 Å, b = 7.635 Å, c = 7.635 Å
α = 90.00°, β = 90.00°, γ = 90.00°
Space group F-43m (No. 216)
Unique sites:
1 Ac 0.000 0.000 0.000 x4
2 Mg 0.000 0.000 0.500 x4
3 Tl 0.250 0.250 0.750 x4
4 Ga 0.250 0.250 0.250 x4


(24)
The following is a GGA-PBE calculation of Ac2Mg4TlGa3 after structural relaxation, from Alexandria via LeMat-Bulk.

Summary:
- Formation energy from the elements: -0.34 eV/atom

a = 4.671 Å, b = 4.671 Å, c = 11.631 Å
α = 90.00°, β = 90.00°, γ = 90.00°
Space group P-4m2 (No. 115)
Unique sites:
1 Ac 0.000 0.500 0.244 x2
2 Mg 0.000 0.000 0.000 x1
3 Mg 0.000 0.500 0.639 x2
4 Mg 0.500 0.500 0.000 x1
5 Tl 0.000 0.000 0.500 x1
6 Ga 0.000 0.500 0.866 x2
7 Ga 0.500 0.500 0.500 x1


(25)
The following is a GGA-PBE calculation of AcTmMgGa after structural relaxation, from Alexandria via LeMat-Bulk.

Summary:
- Formation energy from the elements: -0.24 eV/atom

a = 7.658 Å, b = 7.658 Å, c = 7.658 Å
α = 90.00°, β = 90.00°, γ = 90.00°
Space group F-43m (No. 216)
Unique sites:
1 Ac 0.000 0.000 0.000 x4
2 Tm 0.000 0.000 0.500 x4
3 Mg 0.250 0.250 0.250 x4
4 Ga 0.250 0.250 0.750 x4